This record from Alexandria via LeMat-Bulk describes a geometry-optimized NiOF2 structure. The functional is GGA+U.

```
16
Lattice="4.026 0.000 0.000 0.000 7.420 -0.051 0.000 2.921 8.124" Properties=species:S:1:pos:R:3 pbc="T T T"
F 1.004 8.913 5.689
F 1.009 3.293 3.182
F 3.016 7.049 4.891
O 2.447 7.016 0.114
Ni 1.004 7.057 5.185
O 1.579 3.326 7.959
F 1.004 7.003 3.157
O 0.434 7.036 7.933
Ni 3.017 6.995 2.862
Ni 3.022 3.285 2.888
F 3.017 5.139 2.358
O 3.592 3.306 0.139
Ni 1.009 3.347 5.210
F 3.021 1.429 2.384
F 1.009 5.203 5.714
F 3.022 3.339 4.916
```

Computed properties:
- Offset from the most stable computed form: 86.2 meV per atom
- Total magnetization: 12.00 Bohr magnetons per cell